Density functional theory data (PBE) for crystalline MgRu2W at its relaxed geometry.

a b c (Å): 2.7864 4.1883 5.1992
angles (deg): 90.00 90.00 90.00
Element x y z (fractional)
Mg1 0.0000 0.0000 0.0000
Ru1 0.0000 0.0000 0.4971
Ru2 0.5000 0.5000 0.2014
W1 0.5000 0.5000 0.7166

Values from the calculation:
* ΔE_f: 0.165 eV per atom
* SG: No. 25
* DOS(E_F): 3.67 states/eV per cell
* total DFT energy (no corrections): -32.44 eV/cell